Entry 1:
The following is a DFT calculation (PBE-GGA) of Sn4H3Se4 after structural relaxation.

The space group is Pm (No. 6) and the conventional cell measures 3.648, 11.704 and 6.163 Å, with angles of 90.00, 106.74 and 90.00 degrees. The distinct sites, in fractional coordinates, are Sn at (0.000, 0.000, 0.000), Sn at (0.001, 0.500, 0.997), Sn at (0.356, 0.254, 0.630), H at (0.576, 0.500, 0.151), H at (0.783, 0.249, 0.477), Se at (0.039, 0.255, 0.995), Se at (0.320, 0.500, 0.634) and Se at (0.333, 0.000, 0.657).

For the density of states at the Fermi level, the calculation gives 0.35 states/eV/atom. The uncorrected energy is -3.69 eV per atom.

Entry 2:
The following is a DFT calculation (PBE-GGA) of ScInW2 after structural relaxation.

The space group is Imm2 (No. 44) and the conventional cell measures 3.492, 4.736 and 9.093 Å, with angles of 90.00, 90.00 and 90.00 degrees. The distinct sites, in fractional coordinates, are Sc at (0.000, 0.000, 0.000), In at (0.000, 0.500, 0.773), W at (0.000, 0.000, 0.538) and W at (0.000, 0.500, 0.244).

For the density of states at the Fermi level, the calculation gives 0.86 states/eV/atom. The uncorrected energy is -8.49 eV per atom. The formation energy is 0.25 eV/atom.

Entry 3:
The following is a DFT calculation (PBE-GGA) of Pm5Cu2Pd after structural relaxation.

The space group is I4/mcm (No. 140) and the conventional cell measures 7.230, 7.230 and 15.911 Å, with angles of 90.00, 90.00 and 90.00 degrees. The distinct sites, in fractional coordinates, are Pm at (0.000, 0.000, 0.000), Pm at (0.169, 0.331, 0.150), Cu at (0.120, 0.380, 0.500) and Pd at (0.000, 0.000, 0.250).

For the density of states at the Fermi level, the calculation gives 1.40 states/eV/atom. The uncorrected energy is -4.91 eV per atom. The formation energy is -0.26 eV/atom.

Entry 4:
The following is a DFT calculation (PBE-GGA) of CaCSO2 after structural relaxation.

The space group is P4/mmm (No. 123) and the conventional cell measures 4.093, 4.093 and 3.347 Å, with angles of 90.00, 90.00 and 90.00 degrees. The distinct sites, in fractional coordinates, are Ca at (0.000, 0.000, 0.000), C at (0.500, 0.500, 0.000), S at (0.500, 0.500, 0.500) and O at (0.000, 0.500, 0.500).

For the density of states at the Fermi level, the calculation gives 0.18 states/eV/atom. The value obtained for the uncorrected formation energy is -0.12 eV/atom. The uncorrected energy is -5.18 eV per atom.

Entry 5:
The following is a DFT calculation (PBE-GGA) of Ca3Zn8Cd after structural relaxation.

The space group is R3m (No. 160, hexagonal axes) and the conventional cell measures 5.4798, 5.4798 and 26.9891 Å, with angles of 90.00, 90.00 and 120.00 degrees. The distinct sites, in fractional coordinates, are Ca at (0.0000, 0.0000, 0.0000), Ca at (0.0000, 0.0000, 0.1266), Ca at (0.0000, 0.0000, 0.6196), Zn at (0.0000, 0.0000, 0.3108), Zn at (0.0000, 0.0000, 0.8115), Zn at (0.1670, 0.3340, 0.3952), Zn at (0.1673, 0.3346, 0.8949) and Cd at (0.0000, 0.0000, 0.4963).

For the density of states at the Fermi level, the calculation gives 0.48 states/eV/atom. The uncorrected energy is -1.64 eV per atom. The formation energy is -0.22 eV/atom.

Entry 6:
The following is a DFT calculation (PBE-GGA) of AcNpSe3 after structural relaxation.

The space group is Pnma (No. 62) and the conventional cell measures 7.958, 4.341 and 16.395 Å, with angles of 90.00, 90.00 and 90.00 degrees. The distinct sites, in fractional coordinates, are Ac at (0.134, 0.250, 0.199), Np at (0.227, 0.750, 0.460), Se at (0.011, 0.250, 0.398), Se at (0.128, 0.750, 0.057) and Se at (0.157, 0.250, 0.786).

For the density of states at the Fermi level, the calculation gives 2.22 states/eV/atom. The value obtained for the uncorrected formation energy is -1.58 eV/atom. The uncorrected energy is -7.08 eV per atom.

Entry 7:
The following is a DFT calculation (PBE-GGA) of Dy6CS5 after structural relaxation.

The space group is C2/m (No. 12) and the conventional cell measures 6.702, 11.588 and 6.710 Å, with angles of 90.00, 109.32 and 90.00 degrees. The distinct sites, in fractional coordinates, are Dy at (0.229, 0.000, 0.268), Dy at (0.230, 0.153, 0.730), C at (0.000, 0.000, 0.500), S at (0.000, 0.172, 0.000), S at (0.000, 0.334, 0.500) and S at (0.000, 0.500, 0.000).

For the density of states at the Fermi level, the calculation gives 0.37 states/eV/atom. The value obtained for the uncorrected formation energy is -1.80 eV/atom. The uncorrected energy is -6.59 eV per atom.

Entry 8:
The following is a DFT calculation (PBE-GGA) of Ac4La3WN8 after structural relaxation.

The space group is R-3m (No. 166, hexagonal axes) and the conventional cell measures 7.3682, 7.3682 and 18.2417 Å, with angles of 90.00, 90.00 and 120.00 degrees. The distinct sites, in fractional coordinates, are Ac at (0.0000, 0.0000, 0.0000), Ac at (0.0000, 0.5000, 0.0000), La at (0.0000, 0.5000, 0.5000), W at (0.0000, 0.0000, 0.5000), N at (0.0000, 0.0000, 0.2445) and N at (0.0506, 0.5253, 0.2351).

For the density of states at the Fermi level, the calculation gives 0.21 states/eV/atom. The value obtained for the uncorrected formation energy is -0.97 eV/atom. The uncorrected energy is -7.90 eV per atom.